TiIrN2F (PBE, relaxed); raw formation energy = 0.198 eV per atom; polymorph energy (0 for the lowest one) = 0 meV/atom; N(E_F) = 4.9 states/eV/cell; spin magnetization = 0.3 μB/f.u.
1.0
4.006 0.000 0.000
0.000 4.006 0.000
0.000 0.000 3.665
Ti Ir N F
1 1 2 1
Direct
0.000 0.000 0.000 Ti
0.500 0.500 0.500 Ir
0.000 0.500 0.000 N
0.500 0.000 0.000 N
0.000 0.000 0.500 F